No. 1
Compound: Cd2AgGe2
Source: Alexandria via LeMat-Bulk
Functional: PBE
Structure: relaxed

Computed properties:
Energy above the lowest structure with this stoichiometry   0.65 eV/f.u.
Symmetry   I4/mmm (139)

```
Cd2AgGe2
1.0
4.4178 0.0000 0.0000
0.0000 4.4178 0.0000
0.0000 0.0000 11.6465
Cd Ag Ge
4 2 4
Direct
0.0000 0.5000 0.2500
0.0000 0.5000 0.7500
0.5000 0.0000 0.2500
0.5000 0.0000 0.7500
0.0000 0.0000 0.0000
0.5000 0.5000 0.5000
0.0000 0.0000 0.3959
0.0000 0.0000 0.6041
0.5000 0.5000 0.1041
0.5000 0.5000 0.8959
```

No. 2
Compound: NaMn2In2
Source: Alexandria via LeMat-Bulk
Functional: PBE
Structure: relaxed

Computed properties:
Energy above the lowest structure with this stoichiometry   0.36 eV/f.u.
Symmetry   P4/mbm (127)

```
NaMn2In2
1.0
7.9884 0.0000 0.0000
0.0000 7.9884 0.0000
0.0000 0.0000 2.8626
Na Mn In
2 4 4
Direct
0.0000 0.0000 0.0000
0.5000 0.5000 0.0000
0.0900 0.4100 0.0000
0.4100 0.9100 0.0000
0.5900 0.0900 0.0000
0.9100 0.5900 0.0000
0.1928 0.6928 0.5000
0.3072 0.1928 0.5000
0.6928 0.8072 0.5000
0.8072 0.3072 0.5000
```

No. 3
Compound: Pm2Pr5Er6
Source: Alexandria via LeMat-Bulk
Functional: PBE
Structure: relaxed

Computed properties:
Symmetry   Pbam (55)
Calculated total energy   -4.580 eV per atom

```
Pm2Pr5Er6
1.0
11.7412 0.0000 0.0000
0.0000 20.6465 0.0000
0.0000 0.0000 3.6143
Pm Pr Er
4 10 12
Direct
0.1738 0.2162 0.0000
0.3262 0.7162 0.0000
0.6738 0.2838 0.0000
0.8262 0.7838 0.0000
0.0000 0.5000 0.5000
0.0834 0.7774 0.5000
0.2003 0.0517 0.5000
0.2997 0.5517 0.5000
0.4166 0.2774 0.5000
0.5000 0.0000 0.5000
0.5834 0.7226 0.5000
0.7003 0.4483 0.5000
0.7997 0.9483 0.5000
0.9166 0.2226 0.5000
0.0624 0.9222 0.0000
0.0760 0.6342 0.0000
0.1802 0.3682 0.5000
0.3198 0.8682 0.5000
0.4240 0.1342 0.0000
0.4376 0.4222 0.0000
0.5624 0.5778 0.0000
0.5760 0.8658 0.0000
0.6802 0.1318 0.5000
0.8198 0.6318 0.5000
0.9240 0.3658 0.0000
0.9376 0.0778 0.0000
```

No. 4
Compound: TiAgHg2
Source: Alexandria via LeMat-Bulk
Functional: PBE
Structure: relaxed

Computed properties:
Symmetry   P4/mmm (123)
Calculated total energy   -2.728 eV per atom

```
TiAgHg2
1.0
4.4116 0.0000 0.0000
0.0000 4.4116 0.0000
0.0000 0.0000 4.0873
Ti Ag Hg
1 1 2
Direct
0.0000 0.0000 0.0000
0.5000 0.5000 0.0000
0.0000 0.5000 0.5000
0.5000 0.0000 0.5000
```

Respective magnetization values: 0.000; 0.829; 0.000; 1.693 μB/f.u..